Computed, not measured: a relaxed Sc3WBr crystal at the PBEsol level of DFT.

**Calculated total energy**: -0.2409 hartree per atom
**Formation energy from raw total energies**: 2.7 eV per formula unit

```
data_Sc3WBr
_cell_length_a 4.786
_cell_length_b 4.786
_cell_length_c 4.786
_cell_angle_alpha 90.00
_cell_angle_beta 90.00
_cell_angle_gamma 90.00
_symmetry_space_group_name_H-M 'P 1'
_symmetry_Int_Tables_number 1
loop_
_symmetry_equiv_pos_as_xyz
'x,y,z'
loop_
_atom_site_label
_atom_site_type_symbol
_atom_site_fract_x
_atom_site_fract_y
_atom_site_fract_z
Br1 Br 0.000 0.000 0.000
Sc1 Sc 0.000 0.000 0.500
Sc2 Sc 0.500 0.000 0.000
Sc3 Sc 0.000 0.500 0.000
W1 W 0.500 0.500 0.500
```